Record 1
Computed, not measured: Ca2Ga2Br after structural relaxation at the PBE level of DFT. Values from VASP.

```
&SYSTEM
  ibrav = 0, nat = 5, ntyp = 3
/
ATOMIC_SPECIES
Ca 40.08 Ca.upf
Ga 69.72 Ga.upf
Br 79.90 Br.upf
CELL_PARAMETERS angstrom
2.139 1.235 8.149
-2.139 1.235 8.149
0.000 -2.470 8.149
ATOMIC_POSITIONS crystal
Ca 0.082 0.082 0.082
Ca 0.918 0.918 0.918
Ga 0.324 0.324 0.324
Ga 0.676 0.676 0.676
Br 0.500 0.500 0.500
```

## Properties
For the volume, the calculation gives 129.2 Å³ per cell. The value obtained for the energy relative to the elements, uncorrected is -0.936 eV per atom. As for the magnetic moment: 0.000 μB per formula unit. The space group is R-3m.

---

Record 2
Computed, not measured: CaGaBr2 after structural relaxation at the PBE level of DFT. Values from VASP.

```
&SYSTEM
  ibrav = 0, nat = 4, ntyp = 3
/
ATOMIC_SPECIES
Ca 40.08 Ca.upf
Ga 69.72 Ga.upf
Br 79.90 Br.upf
CELL_PARAMETERS angstrom
0.000 3.772 3.772
3.772 0.000 3.772
3.772 3.772 0.000
ATOMIC_POSITIONS crystal
Ca 0.000 0.000 0.000
Ga 0.500 0.500 0.500
Br 0.250 0.250 0.250
Br 0.750 0.750 0.750
```

## Properties
For the volume, the calculation gives 107.4 Å³ per cell. The value obtained for the energy relative to the elements, uncorrected is -0.921 eV per atom. As for the magnetic moment: 0.000 μB per formula unit. The space group is Fm-3m.